# 1
First-principles (PBE-GGA) data for a geometry-optimized CeSi2Se6 structure, as listed in Alexandria.

Cell: 6.539 8.916 8.916 Å, 87.16 82.85 82.85°
Atoms (fractional coordinates):
Ce  0.250  0.122  0.878
Ce  0.750  0.878  0.122
Si  0.197  0.626  0.772
Si  0.303  0.228  0.374
Si  0.803  0.374  0.228
Si  0.697  0.772  0.626
Se  0.388  0.714  0.556
Se  0.112  0.444  0.286
Se  0.612  0.286  0.444
Se  0.888  0.556  0.714
Se  0.869  0.863  0.411
Se  0.631  0.589  0.137
Se  0.131  0.137  0.589
Se  0.369  0.411  0.863
Se  0.164  0.799  0.963
Se  0.336  0.037  0.201
Se  0.836  0.201  0.037
Se  0.664  0.963  0.799

Summary:
VASP energy = -88.10 eV per cell
spin magnetization = 0.01 μB/atom
raw formation energy = -6.4 eV per formula unit

=====

# 2
First-principles (PBE-GGA) data for a geometry-optimized Hf2ZrBeOs structure, as listed in Alexandria.

Cell: 4.567 4.543 4.567 Å, 90.00 90.00 90.00°
Atoms (fractional coordinates):
Hf  0.000  0.000  0.500
Hf  0.500  0.000  0.000
Os  0.500  0.500  0.500
Zr  0.000  0.500  0.000
Be  0.000  0.000  0.000

Summary:
VASP energy = -40.78 eV per cell
spin magnetization = 0.00 μB/atom
formation energy from the elements = 51 kJ per mole of atoms

=====

# 3
First-principles (PBE-GGA) data for a geometry-optimized VGaFePb2 structure, as listed in Alexandria.

Cell: 5.077 4.492 5.077 Å, 90.00 90.00 90.00°
Atoms (fractional coordinates):
Pb  0.000  0.000  0.500
Pb  0.500  0.000  0.000
Fe  0.000  0.000  0.000
Ga  0.500  0.500  0.500
V  0.000  0.500  0.000

Summary:
VASP energy = -25.03 eV per cell
spin magnetization = 0.35 μB/atom
formation energy from the elements = 58 kJ per mole of atoms

=====

# 4
First-principles (PBE-GGA) data for a geometry-optimized Nd6Ni2PtBr3 structure, as listed in Alexandria.

Cell: 7.173 7.173 8.096 Å, 98.46 98.46 120.06°
Atoms (fractional coordinates):
Nd  0.935  0.592  0.806
Nd  0.721  0.721  0.194
Nd  0.065  0.408  0.194
Nd  0.592  0.935  0.806
Nd  0.279  0.279  0.806
Nd  0.408  0.065  0.194
Ni  0.333  0.667  0.000
Ni  0.667  0.333  0.000
Pt  0.000  0.000  0.000
Br  0.168  0.832  0.500
Br  0.832  0.168  0.500
Br  0.500  0.500  0.500

Summary:
VASP energy = -62.62 eV per cell
spin magnetization = 0.00 μB/atom
raw formation energy = -11.4 eV per formula unit

=====

# 5
First-principles (PBE-GGA) data for a geometry-optimized TmNi5 structure, as listed in Alexandria.

Cell: 4.847 4.847 3.953 Å, 90.00 90.00 120.00°
Atoms (fractional coordinates):
Tm  0.000  0.000  0.000
Ni  0.333  0.667  0.000
Ni  0.667  0.333  0.000
Ni  0.500  0.000  0.500
Ni  0.500  0.500  0.500
Ni  0.000  0.500  0.500

Summary:
VASP energy = -35.40 eV per cell
spin magnetization = 0.28 μB/atom
formation energy from the elements = -33 kJ per mole of atoms

=====

# 6
First-principles (PBE-GGA) data for a geometry-optimized Na2S3N structure, as listed in Alexandria.

Cell: 6.398 6.398 9.231 Å, 57.50 57.50 57.74°
Atoms (fractional coordinates):
Na  0.000  0.000  0.000
Na  0.500  0.500  0.500
Na  0.713  0.713  0.764
Na  0.287  0.287  0.236
S  0.832  0.832  0.392
S  0.168  0.168  0.608
S  0.325  0.797  0.198
S  0.797  0.325  0.198
S  0.675  0.203  0.802
S  0.203  0.675  0.802
N  0.572  0.572  0.101
N  0.428  0.428  0.899

Summary:
VASP energy = -48.06 eV per cell
energy relative to the lowest polymorph listed for this composition = 2.45 eV/f.u.
spin magnetization = 0.00 μB/atom
raw formation energy = -0.7 eV per formula unit

=====

# 7
First-principles (PBE-GGA) data for a geometry-optimized Cs2LiHg6Pd structure, as listed in Alexandria.

Cell: 7.760 7.761 7.769 Å, 59.98 59.98 90.04°
Atoms (fractional coordinates):
Cs  0.750  0.250  0.500
Cs  0.250  0.750  0.500
Li  0.000  0.000  0.000
Hg  0.248  0.248  0.504
Hg  0.752  0.752  0.000
Hg  0.248  0.752  0.000
Hg  0.752  0.248  0.000
Hg  0.248  0.248  0.000
Hg  0.752  0.752  0.496
Pd  0.500  0.500  0.000

Summary:
VASP energy = -13.11 eV per cell
spin magnetization = 0.00 μB/atom
formation energy from the elements = -24 kJ per mole of atoms

=====

# 8
First-principles (PBE-GGA) data for a geometry-optimized Sm5Ho4Th4 structure, as listed in Alexandria.

Cell: 5.061 9.484 9.484 Å, 85.92 74.53 74.53°
Atoms (fractional coordinates):
Sm  0.696  0.842  0.765
Sm  0.304  0.158  0.235
Sm  0.000  0.000  0.000
Sm  0.538  0.765  0.158
Sm  0.462  0.235  0.842
Ho  0.766  0.388  0.080
Ho  0.234  0.612  0.920
Ho  0.846  0.920  0.388
Ho  0.154  0.080  0.612
Th  0.926  0.459  0.688
Th  0.614  0.312  0.459
Th  0.074  0.541  0.312
Th  0.386  0.688  0.541

Summary:
VASP energy = -71.14 eV per cell
spin magnetization = 0.00 μB/atom
formation energy from the elements = 3 kJ per mole of atoms